Material: BaSr2ScPt
Method: DFT, PBE
State: optimized geometry

Density of states at the Fermi level: 5.41 states/eV/f.u.
E_tot: -19.32 eV per cell
Magnetization: 0.00 μB per cell
E_form: -1.66 eV/f.u.

The structure in CIF format:
```
data_BaSr2ScPt
_chemical_formula_sum 'Ba1 Sr2 Sc1 Pt1'
_space_group_name_H-M_alt 'P 4/m m m'
_space_group_IT_number 123
_space_group_name_Hall '-P 4 2'
_cell_length_a 6.116
_cell_length_b 6.116
_cell_length_c 5.245
_cell_angle_alpha 90.00
_cell_angle_beta 90.00
_cell_angle_gamma 90.00
loop_
_atom_site_label
_atom_site_fract_x
_atom_site_fract_y
_atom_site_fract_z
Ba1 0.000 0.000 0.000
Sr1 0.000 0.500 0.500
Sc1 0.500 0.500 0.000
Pt1 0.500 0.500 0.500
```